1.
TiCrInIr | the Alexandria database | PBE | relaxed; symmetry = F-43m (216); formation energy = -0.217 eV/atom
1.0
-3.0648 2.1807 2.4268
-2.5404 -2.2363 2.9297
0.6203 0.5742 4.3959
Cr Ir Ti In
1 1 1 1
direct
0.0000 0.0000 0.0000
0.5000 0.5000 0.5000
0.2500 0.2500 0.2500
0.7500 0.7500 0.7500

=====

2.
CeZr | the Alexandria database | PBE | relaxed; symmetry = Pmmn (59); formation energy = 0.046 eV/atom
1.0
4.7606 0.0000 0.0000
0.0000 3.2190 0.3078
0.0000 -0.6192 6.4739
Zr Ce
2 2
direct
0.2500 0.2500 0.1069
0.7500 0.7500 0.8931
0.2500 0.2500 0.6207
0.7500 0.7500 0.3793

=====

3.
LaAgRu2S | the Alexandria database | PBE | relaxed; symmetry = P4/mmm (123); E_form (uncorrected) = 1.6463 eV/atom
1.0
4.8002 0.0000 0.0000
0.0000 5.7060 0.0000
0.0000 0.0000 4.8002
Ru S Ag La
2 1 1 1
direct
0.0000 0.0000 0.5000
0.5000 0.0000 0.0000
0.5000 0.5000 0.5000
0.0000 0.5000 0.0000
0.0000 0.0000 0.0000

=====

4.
SeF | the Alexandria database | PBE | relaxed; symmetry = P1 (1); E_form (uncorrected) = -1.0051 eV/atom; relative energy among the computed polymorphs = 59 meV per atom
1.0
-4.9898 1.4191 -2.5890
-2.5354 -4.0837 -4.2508
-4.1167 -4.9372 1.6955
Se F
4 4
direct
0.6134 0.5912 0.1152
0.9038 0.4736 0.8336
0.0155 0.8812 0.5571
0.6241 0.1586 0.2914
0.8381 0.0272 0.7613
0.6137 0.6647 0.6117
0.2098 0.3067 0.0284
0.1781 0.6778 0.3895

=====

5.
Y4Pb3 | the Alexandria database | PBE | relaxed; symmetry = I-43d (220); relative energy among the computed polymorphs = 0 meV per atom; formation energy = -0.584 eV/atom
1.0
-7.1382 -3.7950 -1.0545
5.8596 -5.5298 1.2468
-0.4827 4.9514 6.4590
Y Pb
8 6
direct
0.3598 0.5000 0.0000
0.5000 0.3598 0.5000
0.0000 0.0000 0.3598
0.6402 0.1402 0.1402
0.0000 0.0000 0.8598
0.1402 0.6402 0.6402
0.8598 0.5000 0.0000
0.5000 0.8598 0.5000
0.1250 0.3750 0.2500
0.6250 0.7500 0.8750
0.8750 0.2500 0.6250
0.2500 0.8750 0.1250
0.7500 0.6250 0.3750
0.3750 0.1250 0.7500

=====

6.
NdEr2AlPd4 | the Alexandria database | PBE | relaxed; symmetry = R-3m (166); formation energy = -0.832 eV/atom
1.0
4.7860 0.0000 0.0000
2.3930 4.1448 0.0000
2.3930 1.3816 8.2226
Nd Er Al Pd
1 2 1 4
direct
0.0000 0.0000 0.0000
0.7577 0.7577 0.7270
0.2423 0.2423 0.2730
0.5000 0.5000 0.5000
0.3943 0.3943 0.8171
0.8708 0.8708 0.3875
0.1292 0.1292 0.6125
0.6057 0.6057 0.1829

=====

7.
SrTc2Os | the Alexandria database | PBE | relaxed; symmetry = P4/mmm (123); relative energy among the computed polymorphs = 479 meV per atom; formation energy = 1.089 eV/atom
1.0
-1.2569 4.3606 -1.5183
-3.7659 -0.0577 2.9519
1.6865 1.2437 2.1759
Os Sr Tc
1 1 2
direct
0.5000 0.0000 0.5000
0.0000 0.5000 0.5000
0.0000 0.0000 0.0000
0.5000 0.5000 0.0000

=====

8.
AlCdSbI2 | the Alexandria database | PBE | relaxed; symmetry = P4/mmm (123); E_form (uncorrected) = 0.3762 eV/atom; relative energy among the computed polymorphs = 229 meV per atom
1.0
-1.0572 5.8876 0.9052
-5.5665 -1.3037 1.9786
1.9673 -0.4519 5.2369
I Sb Al Cd
2 1 1 1
direct
0.0000 0.5000 0.0000
0.5000 0.0000 0.0000
0.0000 0.0000 0.5000
0.5000 0.5000 0.5000
0.0000 0.0000 0.0000

=====

9.
KCdCl2 | the Alexandria database | PBE | relaxed; symmetry = R3m (160); E_form (uncorrected) = -1.0931 eV/atom; relative energy among the computed polymorphs = 90 meV per atom
1.0
7.8590 0.0120 0.0073
6.6502 4.1880 0.0073
6.6502 1.9250 3.7193
K Cl Cd
1 2 1
direct
0.4988 0.4988 0.4988
0.0784 0.0784 0.0784
0.2550 0.2550 0.2550
0.6678 0.6678 0.6678

=====

10.
SrMg2Co | the Alexandria database | PBE | relaxed; symmetry = I-4m2 (119); formation energy = 0.370 eV/atom
1.0
-0.5241 -5.0421 -0.5039
-0.4171 -0.4150 5.0602
-3.1164 3.1277 -2.5411
Co Mg Sr
1 2 1
direct
0.7500 0.2500 0.5000
0.0000 0.0000 0.0000
0.2500 0.7500 0.5000
0.5000 0.5000 0.0000

=====

11.
Pu2Al2Cu15 | the Alexandria database | PBE | relaxed; symmetry = R-3m (166); formation energy = -0.058 eV/atom
1.0
-1.4799 0.5871 6.3420
-6.2849 -1.7508 -0.4351
0.7613 -6.2867 1.6289
Pu Al Cu
2 2 15
direct
0.3541 0.3541 0.3541
0.6459 0.6459 0.6459
0.1047 0.1047 0.1047
0.8953 0.8953 0.8953
0.5000 0.0000 0.0000
0.0000 0.0000 0.5000
0.0000 0.5000 0.0000
0.0000 0.2953 0.7047
0.2953 0.7047 0.0000
0.7047 0.0000 0.2953
0.7047 0.2953 0.0000
0.2953 0.0000 0.7047
0.0000 0.7047 0.2953
0.8502 0.3456 0.3456
0.3456 0.3456 0.8502
0.3456 0.8502 0.3456
0.1498 0.6544 0.6544
0.6544 0.6544 0.1498
0.6544 0.1498 0.6544

=====

It is found that the D(E_F) values, taken in the order of the records, are 4.253; 6.573; 5.489; 0.000; 1.590; 5.885; 6.005; 2.827; 3.219; 6.453; 35.885 states/eV per cell.
It is found that the total magnetic moment values, taken in the order of the records, are 2.1; 0.0; 2.3; 0.0; 0.0; 0.0; 0.0; 1.7; 0.3; 1.0; 12.0 μB/f.u..
It is found that the uncorrected energy values, taken in the order of the records, are -7.497; -7.195; -4.445; -3.683; -5.867; -5.633; -7.322; -2.000; -2.520; -2.624; -5.195 eV/atom.